# 1
Density functional theory data (PBE) for a relaxed GdLu2Hg crystal.

Lattice parameters (Å, degrees): 6.781 11.794 5.369 90.00 90.00 90.00
Fractional coordinates of all 16 atoms:
Gd (0.000, 0.174, 0.250)
Gd (0.000, 0.826, 0.750)
Gd (0.500, 0.326, 0.750)
Gd (0.500, 0.674, 0.250)
Lu (0.244, 0.416, 0.250)
Lu (0.244, 0.584, 0.750)
Lu (0.256, 0.084, 0.750)
Lu (0.256, 0.916, 0.250)
Lu (0.744, 0.084, 0.750)
Lu (0.744, 0.916, 0.250)
Lu (0.756, 0.416, 0.250)
Lu (0.756, 0.584, 0.750)
Hg (0.000, 0.336, 0.750)
Hg (0.000, 0.664, 0.250)
Hg (0.500, 0.164, 0.250)
Hg (0.500, 0.836, 0.750)

Summary:
E_form: -164 meV/atom
Energy relative to the lowest polymorph listed for this composition: 0.0 meV/atom
M_tot: 0.0 Bohr magnetons per cell

# 2
Density functional theory data (PBE) for a relaxed Pr5H crystal.

Lattice parameters (Å, degrees): 6.571 6.571 6.141 90.00 90.00 120.00
Fractional coordinates of all 6 atoms:
Pr (0.000, 0.500, 0.000)
Pr (0.333, 0.667, 0.500)
Pr (0.500, 0.000, 0.000)
Pr (0.500, 0.500, 0.000)
Pr (0.667, 0.333, 0.500)
H (0.000, 0.000, 0.500)

Summary:
M_tot: 1.3 Bohr magnetons per cell

# 3
Density functional theory data (PBE) for a relaxed Pm2NdNi9 crystal.

Lattice parameters (Å, degrees): 8.707 8.707 8.707 33.48 33.48 33.48
Fractional coordinates of all 12 atoms:
Pm (0.139, 0.139, 0.139)
Pm (0.861, 0.861, 0.861)
Nd (0.000, 0.000, 0.000)
Ni (0.082, 0.581, 0.581)
Ni (0.333, 0.333, 0.333)
Ni (0.419, 0.419, 0.918)
Ni (0.419, 0.918, 0.419)
Ni (0.500, 0.500, 0.500)
Ni (0.581, 0.082, 0.581)
Ni (0.581, 0.581, 0.082)
Ni (0.667, 0.667, 0.667)
Ni (0.918, 0.419, 0.419)

Summary:
E_form: -334 meV/atom
M_tot: 0.4 Bohr magnetons per cell

# 4
Density functional theory data (PBE) for a relaxed Ni13W16 crystal.

Lattice parameters (Å, degrees): 8.114 8.114 8.114 109.47 109.47 109.47
Fractional coordinates of all 29 atoms:
Ni (0.000, 0.000, 0.000)
Ni (0.000, 0.412, 0.684)
Ni (0.000, 0.684, 0.412)
Ni (0.272, 0.588, 0.588)
Ni (0.316, 0.316, 0.728)
Ni (0.316, 0.728, 0.316)
Ni (0.412, 0.000, 0.684)
Ni (0.412, 0.684, 0.000)
Ni (0.588, 0.272, 0.588)
Ni (0.588, 0.588, 0.272)
Ni (0.684, 0.000, 0.412)
Ni (0.684, 0.412, 0.000)
Ni (0.728, 0.316, 0.316)
W (0.000, 0.000, 0.642)
W (0.000, 0.199, 0.391)
W (0.000, 0.391, 0.199)
W (0.000, 0.642, 0.000)
W (0.192, 0.801, 0.801)
W (0.199, 0.000, 0.391)
W (0.199, 0.391, 0.000)
W (0.358, 0.358, 0.358)
W (0.391, 0.000, 0.199)
W (0.391, 0.199, 0.000)
W (0.609, 0.609, 0.808)
W (0.609, 0.808, 0.609)
W (0.642, 0.000, 0.000)
W (0.801, 0.192, 0.801)
W (0.801, 0.801, 0.192)
W (0.808, 0.609, 0.609)

Summary:
E_form: 250 meV/atom
Energy relative to the lowest polymorph listed for this composition: 55.1 meV/atom
M_tot: 0.0 Bohr magnetons per cell

# 5
Density functional theory data (PBE) for a relaxed YHoTe2 crystal.

Lattice parameters (Å, degrees): 7.666 7.666 4.071 90.00 90.00 90.00
Fractional coordinates of all 8 atoms:
Y (0.000, 0.500, 0.184)
Y (0.500, 0.000, 0.816)
Ho (0.000, 0.000, 0.000)
Ho (0.500, 0.500, 0.000)
Te (0.216, 0.284, 0.680)
Te (0.284, 0.784, 0.320)
Te (0.716, 0.216, 0.320)
Te (0.784, 0.716, 0.680)

Summary:
Energy relative to the lowest polymorph listed for this composition: 187.0 meV/atom
M_tot: 0.5 Bohr magnetons per cell

# 6
Density functional theory data (PBE) for a relaxed Zn2I3Cl crystal.

Lattice parameters (Å, degrees): 4.043 4.198 12.811 90.00 90.00 90.00
Fractional coordinates of all 6 atoms:
Zn (0.000, 0.000, 0.000)
Zn (0.500, 0.500, 0.489)
I (0.000, 0.500, 0.358)
I (0.000, 0.500, 0.876)
I (0.500, 0.000, 0.616)
Cl (0.500, 0.000, 0.097)

# 7
Density functional theory data (PBE) for a relaxed KZrU crystal.

Lattice parameters (Å, degrees): 7.714 7.714 7.714 90.00 90.00 90.00
Fractional coordinates of all 12 atoms:
K (0.000, 0.000, 0.000)
K (0.000, 0.500, 0.500)
K (0.500, 0.000, 0.500)
K (0.500, 0.500, 0.000)
Zr (0.250, 0.250, 0.250)
Zr (0.250, 0.750, 0.750)
Zr (0.750, 0.250, 0.750)
Zr (0.750, 0.750, 0.250)
U (0.000, 0.000, 0.500)
U (0.000, 0.500, 0.000)
U (0.500, 0.000, 0.000)
U (0.500, 0.500, 0.500)

Summary:
Energy relative to the lowest polymorph listed for this composition: 0.0 meV/atom
M_tot: 25.5 Bohr magnetons per cell

# 8
Density functional theory data (PBE) for a relaxed Sr2CoTe crystal.

Lattice parameters (Å, degrees): 7.589 7.589 7.589 90.00 90.00 90.00
Fractional coordinates of all 16 atoms:
Sr (0.000, 0.000, 0.000)
Sr (0.000, 0.500, 0.500)
Sr (0.250, 0.250, 0.250)
Sr (0.250, 0.750, 0.750)
Sr (0.500, 0.000, 0.500)
Sr (0.500, 0.500, 0.000)
Sr (0.750, 0.250, 0.750)
Sr (0.750, 0.750, 0.250)
Co (0.000, 0.000, 0.500)
Co (0.000, 0.500, 0.000)
Co (0.500, 0.000, 0.000)
Co (0.500, 0.500, 0.500)
Te (0.250, 0.250, 0.750)
Te (0.250, 0.750, 0.250)
Te (0.750, 0.250, 0.250)
Te (0.750, 0.750, 0.750)

Summary:
M_tot: 2.5 Bohr magnetons per cell

# 9
Density functional theory data (PBE) for a relaxed Dy2HoIn3Ag3 crystal.

Lattice parameters (Å, degrees): 3.910 7.833 7.833 119.96 90.00 90.00
Fractional coordinates of all 9 atoms:
Dy (0.000, 0.202, 0.798)
Dy (0.000, 0.798, 0.202)
Ho (0.000, 0.394, 0.394)
In (0.500, 0.062, 0.062)
In (0.500, 0.534, 0.798)
In (0.500, 0.798, 0.534)
Ag (0.000, 0.798, 0.798)
Ag (0.500, 0.132, 0.464)
Ag (0.500, 0.464, 0.132)

Summary:
M_tot: 0.0 Bohr magnetons per cell

# 10
Density functional theory data (PBE) for a relaxed InMo3Cl5 crystal.

Lattice parameters (Å, degrees): 5.448 7.257 5.460 90.00 90.64 90.00
Fractional coordinates of all 9 atoms:
In (0.000, 0.000, 0.000)
Mo (0.000, 0.864, 0.500)
Mo (0.500, 0.366, 0.500)
Mo (0.500, 0.864, 0.000)
Cl (0.193, 0.351, 0.194)
Cl (0.285, 0.645, 0.715)
Cl (0.500, 0.029, 0.500)
Cl (0.715, 0.645, 0.285)
Cl (0.807, 0.351, 0.806)

Summary:
M_tot: 10.0 Bohr magnetons per cell

# 11
Density functional theory data (PBE) for a relaxed RbPr2Cu3TeS4 crystal.

Lattice parameters (Å, degrees): 7.370 7.370 17.897 90.00 90.00 147.33
Fractional coordinates of all 22 atoms:
Rb (0.047, 0.953, 0.750)
Rb (0.953, 0.047, 0.250)
Pr (0.186, 0.814, 0.085)
Pr (0.186, 0.814, 0.415)
Pr (0.814, 0.186, 0.585)
Pr (0.814, 0.186, 0.915)
Cu (0.348, 0.652, 0.750)
Cu (0.416, 0.584, 0.041)
Cu (0.416, 0.584, 0.459)
Cu (0.584, 0.416, 0.541)
Cu (0.584, 0.416, 0.959)
Cu (0.652, 0.348, 0.250)
Te (0.252, 0.748, 0.250)
Te (0.748, 0.252, 0.750)
S (0.163, 0.837, 0.569)
S (0.163, 0.837, 0.931)
S (0.443, 0.557, 0.610)
S (0.443, 0.557, 0.890)
S (0.557, 0.443, 0.110)
S (0.557, 0.443, 0.390)
S (0.837, 0.163, 0.069)
S (0.837, 0.163, 0.431)

Summary:
M_tot: 0.0 Bohr magnetons per cell

# 12
Density functional theory data (PBE) for a relaxed ErAlPO crystal.

Lattice parameters (Å, degrees): 3.930 6.575 5.531 90.00 90.00 90.00
Fractional coordinates of all 8 atoms:
Er (0.000, 0.184, 0.000)
Er (0.000, 0.816, 0.500)
Al (0.500, 0.392, 0.620)
Al (0.500, 0.608, 0.120)
P (0.000, 0.232, 0.492)
P (0.000, 0.768, 0.992)
O (0.500, 0.361, 0.959)
O (0.500, 0.639, 0.459)

Summary:
M_tot: 0.0 Bohr magnetons per cell

Raw total energy for every record listed, in sequence, given in eV per atom: -3.664 -3.604 -5.698 -9.396 -5.445 -2.205 -4.967 -3.246 -3.812 -4.699 -4.834 -6.366.